Record 1
## Th6SiP2S3 (PBE)

Data for crystalline Th6SiP2S3 at its relaxed geometry.

For the formation energy (no corrections), the calculation gives -1572 meV per atom. Its crystal system is monoclinic.

It has space group C2/m (No. 12), with a = 17.898 Å, b = 4.155 Å, c = 8.167 Å, α = 90.00°, β = 102.51° and γ = 90.00°. The asymmetric unit holds Th at (0.001, 0.000, 0.252), Th at (0.167, 0.500, 0.086), Th at (0.167, 0.500, 0.581), Si at (0.000, 0.500, 0.000), P at (0.168, 0.000, 0.334), S at (0.000, 0.500, 0.500) and S at (0.166, 0.000, 0.832).



Record 2
## AsIrCl2 (PBE)

Data for crystalline AsIrCl2 at its relaxed geometry.

For the formation energy (no corrections), the calculation gives 508 meV per atom. Its crystal system is orthorhombic.

It has space group Fmmm (No. 69), with a = 5.646 Å, b = 6.157 Å, c = 8.379 Å, α = 90.00°, β = 90.00° and γ = 90.00°. The asymmetric unit holds As at (0.000, 0.000, 0.000), Ir at (0.000, 0.000, 0.500) and Cl at (0.000, 0.250, 0.250).



Record 3
## CdCu3H (PBE)

Data for crystalline CdCu3H at its relaxed geometry.

The total energy is -15.950 eV per cell. Its crystal system is cubic.

It has space group Pm-3m (No. 221), with a = 3.884 Å, b = 3.884 Å, c = 3.884 Å, α = 90.00°, β = 90.00° and γ = 90.00°. The asymmetric unit holds Cd at (0.000, 0.000, 0.000), Cu at (0.000, 0.500, 0.500) and H at (0.500, 0.500, 0.500).